# 1
A plane-wave DFT calculation with GGA-PBE was carried out for a relaxed structure of Ca2TmHg8.

a b c (Å): 5.163 7.715 14.119
angles (deg): 90.00 90.00 90.00
Space group Immm (No. 71)
Asymmetric unit:
Ca (0.000, 0.000, 0.210)
Tm (0.000, 0.000, 0.500)
Hg (0.000, 0.200, 0.000)
Hg (0.000, 0.303, 0.365)
Hg (0.000, 0.500, 0.150)

Results
- calculated total energy (eV/atom) = -1.320
- density (g cm⁻³) = 10.95
- magnetization (μB/f.u.) = 0.00
- E_form (eV per atom) = -0.33

***

# 2
A plane-wave DFT calculation with GGA-PBE was carried out for a relaxed structure of Ca2Tm2Hg3.

a b c (Å): 5.2437 5.2437 25.2106
angles (deg): 90.00 90.00 120.00
Space group R-3m (No. 166, hexagonal axes)
Asymmetric unit:
Ca (0.0000, 0.0000, 0.1223)
Tm (0.0000, 0.0000, 0.3751)
Hg (0.0000, 0.0000, 0.2569)
Hg (0.0000, 0.0000, 0.5000)

Results
- calculated total energy (eV/atom) = -2.335
- density (g cm⁻³) = 8.46
- magnetization (μB/f.u.) = 0.00
- E_form (eV per atom) = -0.36

***

# 3
A plane-wave DFT calculation with GGA-PBE was carried out for a relaxed structure of CaTm3Hg2.

a b c (Å): 5.065 9.171 7.105
angles (deg): 90.00 90.00 90.00
Space group Pmc2_1 (No. 26)
Asymmetric unit:
Ca (0.000, 0.058, 0.000)
Tm (0.000, 0.325, 0.641)
Tm (0.500, 0.178, 0.319)
Tm (0.500, 0.442, 0.962)
Hg (0.000, 0.356, 0.222)
Hg (0.500, 0.151, 0.739)

Results
- calculated total energy (eV/atom) = -3.021
- density (g cm⁻³) = 9.54
- magnetization (μB/f.u.) = 0.00
- E_form (eV per atom) = -0.35

***

# 4
A plane-wave DFT calculation with GGA-PBE was carried out for a relaxed structure of CaTm3Hg12.

a b c (Å): 4.520 4.520 19.053
angles (deg): 90.00 90.00 90.00
Space group P4/mmm (No. 123)
Asymmetric unit:
Ca (0.000, 0.000, 0.000)
Tm (0.000, 0.000, 0.250)
Tm (0.000, 0.000, 0.500)
Hg (0.000, 0.500, 0.129)
Hg (0.000, 0.500, 0.376)
Hg (0.500, 0.500, 0.000)
Hg (0.500, 0.500, 0.253)
Hg (0.500, 0.500, 0.500)

Results
- calculated total energy (eV/atom) = -1.489
- density (g cm⁻³) = 12.60
- magnetization (μB/f.u.) = 0.00
- E_form (eV per atom) = -0.30